# Ba2CaHg8

A geometry-optimized Ba2CaHg8 structure (PBE-GGA, Alexandria).

Geometry as extended XYZ:
```
11
Lattice="-2.963 -1.341 -4.413 4.577 -5.514 -1.285 -5.622 -1.684 7.635" Properties=species:S:1:pos:R:3 pbc="T T T"
Ba -0.976 -5.321 -1.076
Ba -3.032 -3.219 3.014
Hg -6.473 -2.938 1.654
Hg -0.305 -2.479 0.833
Hg -3.301 -2.602 -0.398
Hg -3.703 -6.061 1.105
Hg -0.708 -5.937 2.336
Hg -0.353 -3.245 -3.820
Hg 1.967 -3.610 -1.877
Hg 2.465 -5.601 0.285
Ca -1.481 -0.671 -2.206
```

Calculated values
Crystal system = monoclinic
Density of states at the Fermi level = 0.602 states/eV per atom
Space-group type = No. 12
Calculated formation energy = -0.3770 eV/atom
Calculated volume = 339.1 Å³/cell
Electronic total energy = -1.1281 eV per atom